First-principles (GGA-PBE) data for a relaxed In3Sn12Sb5 crystal, as listed in Alexandria via LeMat-Bulk.

POSCAR file:
```
In3Sn12Sb5
1.0
-13.945 -2.559 -5.852
10.446 -7.805 -8.077
0.338 -4.629 14.620
Sb Sn In
20 48 12
direct
0.000 0.500 0.500
0.875 0.625 0.750
0.375 0.125 0.750
0.625 0.750 0.875
0.750 0.125 0.875
0.625 0.875 0.250
0.500 0.500 0.500
0.500 0.000 0.500
0.000 0.000 0.500
0.750 0.625 0.375
0.000 0.000 0.000
0.500 0.500 0.000
0.125 0.750 0.375
0.500 0.000 0.000
0.375 0.250 0.125
0.125 0.375 0.250
0.250 0.375 0.625
0.000 0.500 0.000
0.875 0.250 0.625
0.250 0.875 0.125
0.268 0.409 0.832
0.065 0.641 0.732
0.332 0.565 0.424
0.565 0.332 0.924
0.168 0.091 0.732
0.768 0.332 0.909
0.935 0.359 0.268
0.409 0.141 0.576
0.232 0.565 0.641
0.332 0.768 0.409
0.576 0.641 0.409
0.909 0.832 0.768
0.424 0.065 0.332
0.935 0.576 0.168
0.168 0.076 0.935
0.909 0.076 0.641
0.832 0.924 0.065
0.435 0.768 0.859
0.668 0.435 0.576
0.768 0.435 0.359
0.641 0.065 0.232
0.668 0.232 0.591
0.141 0.409 0.076
0.732 0.141 0.065
0.565 0.232 0.141
0.232 0.668 0.091
0.268 0.859 0.935
0.076 0.168 0.435
0.359 0.935 0.768
0.141 0.732 0.565
0.409 0.268 0.332
0.732 0.591 0.168
0.435 0.668 0.076
0.832 0.909 0.268
0.076 0.909 0.141
0.091 0.924 0.359
0.424 0.359 0.591
0.091 0.168 0.232
0.859 0.268 0.435
0.591 0.859 0.424
0.359 0.424 0.091
0.859 0.591 0.924
0.576 0.935 0.668
0.065 0.424 0.832
0.591 0.732 0.668
0.641 0.576 0.909
0.924 0.832 0.565
0.924 0.091 0.859
0.625 0.250 0.375
0.125 0.250 0.875
0.875 0.125 0.250
0.750 0.375 0.125
0.250 0.625 0.875
0.125 0.875 0.750
0.375 0.625 0.250
0.875 0.750 0.125
0.250 0.125 0.375
0.625 0.375 0.750
0.375 0.750 0.625
0.750 0.875 0.625
```

volume	2778.0	Å³/cell
space-group type	Ia-3d (230)
raw formation energy	0.171	eV/atom
DFT total energy	-3.672	eV per atom
spin magnetization	0.00	μB/cell
DOS(E_F)	37.7	states/eV/cell